Entry 1:
An optimized crystal structure of SmZnGa2Ru2, computed with PBE-GGA.

Results
Symmetry: P4/mmm (123)
Spin magnetization, Bohr magnetons per cell: 0.00
Uncorrected energy, eV/atom: -5.1746

a b c (Å): 4.596 4.596 5.475
angles (deg): 90.00 90.00 90.00
Atoms (fractional coordinates):
Sm (0.000, 0.000, 0.000)
Zn (0.000, 0.000, 0.500)
Ga (0.500, 0.500, 0.249)
Ga (0.500, 0.500, 0.751)
Ru (0.000, 0.500, 0.500)
Ru (0.500, 0.000, 0.500)

---

Entry 2:
An optimized crystal structure of SmZrGaRu, computed with PBE-GGA.

Results
Symmetry: F-43m (216)
Spin magnetization, Bohr magnetons per cell: 0.00
Uncorrected energy, eV/atom: -6.7155

a b c (Å): 4.871 4.871 4.871
angles (deg): 60.00 60.00 60.00
Atoms (fractional coordinates):
Sm (0.000, 0.000, 0.000)
Zr (0.500, 0.500, 0.500)
Ga (0.750, 0.750, 0.750)
Ru (0.250, 0.250, 0.250)

---

Entry 3:
An optimized crystal structure of GaSnRu, computed with PBE-GGA.

Results
Symmetry: P-6m2 (187)
Spin magnetization, Bohr magnetons per cell: 0.00
Uncorrected energy, eV/atom: -5.3705

a b c (Å): 4.350 4.350 3.279
angles (deg): 90.00 90.00 120.00
Atoms (fractional coordinates):
Ga (0.000, 0.000, 0.000)
Sn (0.333, 0.667, 0.500)
Ru (0.667, 0.333, 0.000)

---

Entry 4:
An optimized crystal structure of GaSn3Ru, computed with PBE-GGA.

Results
Energy above the lowest structure with this stoichiometry, meV/atom: 0
Symmetry: Pm-3m (221)
Spin magnetization, Bohr magnetons per cell: 0.00

a b c (Å): 5.175 5.175 5.175
angles (deg): 90.00 90.00 90.00
Atoms (fractional coordinates):
Ga (0.000, 0.000, 0.000)
Sn (0.000, 0.500, 0.500)
Sn (0.500, 0.000, 0.500)
Sn (0.500, 0.500, 0.000)
Ru (0.500, 0.500, 0.500)

---

Entry 5:
An optimized crystal structure of Ga2SnRu, computed with PBE-GGA.

Results
Symmetry: R-3m (166)
Spin magnetization, Bohr magnetons per cell: 0.00
Uncorrected energy, eV/atom: -4.9029

a b c (Å): 9.331 9.331 9.331
angles (deg): 19.18 19.18 19.18
Atoms (fractional coordinates):
Ga (0.101, 0.101, 0.101)
Ga (0.899, 0.899, 0.899)
Sn (0.000, 0.000, 0.000)
Ru (0.500, 0.500, 0.500)

---

Entry 6:
An optimized crystal structure of GaSn2Ru, computed with PBE-GGA.

Results
Symmetry: R-3m (166)
Spin magnetization, Bohr magnetons per cell: 0.17
Uncorrected energy, eV/atom: -4.9946

a b c (Å): 9.517 9.517 9.517
angles (deg): 19.89 19.89 19.89
Atoms (fractional coordinates):
Ga (0.000, 0.000, 0.000)
Sn (0.098, 0.098, 0.098)
Sn (0.902, 0.902, 0.902)
Ru (0.500, 0.500, 0.500)

---

Entry 7:
An optimized crystal structure of GaSnRu2, computed with PBE-GGA.

Results
Energy above the lowest structure with this stoichiometry, meV/atom: 6
Symmetry: P4/mmm (123)
Spin magnetization, Bohr magnetons per cell: 0.00

a b c (Å): 4.423 4.423 3.160
angles (deg): 90.00 90.00 90.00
Atoms (fractional coordinates):
Ga (0.000, 0.000, 0.000)
Sn (0.500, 0.500, 0.000)
Ru (0.000, 0.500, 0.500)
Ru (0.500, 0.000, 0.500)

---

Entry 8:
An optimized crystal structure of GaSn3Ru, computed with PBE-GGA.

Results
Energy above the lowest structure with this stoichiometry, meV/atom: 931
Symmetry: Pm-3m (221)
Spin magnetization, Bohr magnetons per cell: 1.98

a b c (Å): 5.207 5.207 5.207
angles (deg): 90.00 90.00 90.00
Atoms (fractional coordinates):
Ga (0.000, 0.000, 0.000)
Sn (0.000, 0.000, 0.500)
Sn (0.000, 0.500, 0.000)
Sn (0.500, 0.000, 0.000)
Ru (0.500, 0.500, 0.500)

---

Entry 9:
An optimized crystal structure of GaSnRu2, computed with PBE-GGA.

Results
Energy above the lowest structure with this stoichiometry, meV/atom: 582
Symmetry: I-42d (122)
Spin magnetization, Bohr magnetons per cell: 2.17

a b c (Å): 5.704 5.704 5.704
angles (deg): 105.17 105.17 118.46
Atoms (fractional coordinates):
Ga (0.000, 0.000, 0.000)
Ga (0.750, 0.250, 0.500)
Sn (0.250, 0.750, 0.500)
Sn (0.500, 0.500, 0.000)
Ru (0.097, 0.625, 0.972)
Ru (0.375, 0.347, 0.472)
Ru (0.653, 0.125, 0.028)
Ru (0.875, 0.903, 0.528)

---

Entry 10:
An optimized crystal structure of GaSnRu2, computed with PBE-GGA.

Results
Energy above the lowest structure with this stoichiometry, meV/atom: 834
Symmetry: Immm (71)
Spin magnetization, Bohr magnetons per cell: 0.00

a b c (Å): 5.912 5.912 5.912
angles (deg): 151.79 132.63 56.05
Atoms (fractional coordinates):
Ga (0.000, 0.000, 0.000)
Sn (0.500, 0.500, 0.000)
Ru (0.230, 0.230, 0.000)
Ru (0.770, 0.770, 0.000)

---

Entry 11:
An optimized crystal structure of GaSnRu2, computed with PBE-GGA.

Results
Energy above the lowest structure with this stoichiometry, meV/atom: 7
Symmetry: P4/mmm (123)
Spin magnetization, Bohr magnetons per cell: 0.00

a b c (Å): 3.140 3.140 6.245
angles (deg): 90.00 90.00 90.00
Atoms (fractional coordinates):
Ga (0.000, 0.000, 0.000)
Sn (0.000, 0.000, 0.500)
Ru (0.500, 0.500, 0.238)
Ru (0.500, 0.500, 0.762)

---

Entry 12:
An optimized crystal structure of Ga2SnRu, computed with PBE-GGA.

Results
Symmetry: I-42d (122)
Spin magnetization, Bohr magnetons per cell: 0.00
Uncorrected energy, eV/atom: -4.6959

a b c (Å): 9.542 9.542 9.542
angles (deg): 155.10 155.10 35.50
Atoms (fractional coordinates):
Ga (0.070, 0.625, 0.945)
Ga (0.375, 0.320, 0.445)
Ga (0.680, 0.125, 0.055)
Ga (0.875, 0.930, 0.555)
Sn (0.250, 0.750, 0.500)
Sn (0.500, 0.500, 0.000)
Ru (0.000, 0.000, 0.000)
Ru (0.750, 0.250, 0.500)

---

Entry 13:
An optimized crystal structure of GaSnRu2, computed with PBE-GGA.

Results
Energy above the lowest structure with this stoichiometry, meV/atom: 0
Symmetry: Fm-3m (225)
Spin magnetization, Bohr magnetons per cell: 0.00

a b c (Å): 4.497 4.497 4.497
angles (deg): 60.00 60.00 60.00
Atoms (fractional coordinates):
Ga (0.000, 0.000, 0.000)
Sn (0.500, 0.500, 0.500)
Ru (0.250, 0.250, 0.250)
Ru (0.750, 0.750, 0.750)

---

Entry 14:
An optimized crystal structure of Ga3SnRu, computed with PBE-GGA.

Results
Energy above the lowest structure with this stoichiometry, meV/atom: 0
Symmetry: Pm-3m (221)
Spin magnetization, Bohr magnetons per cell: 0.00

a b c (Å): 4.839 4.839 4.839
angles (deg): 90.00 90.00 90.00
Atoms (fractional coordinates):
Ga (0.000, 0.000, 0.500)
Ga (0.000, 0.500, 0.000)
Ga (0.500, 0.000, 0.000)
Sn (0.500, 0.500, 0.500)
Ru (0.000, 0.000, 0.000)

---

Entry 15:
An optimized crystal structure of GaSnRu, computed with PBE-GGA.

Results
Symmetry: F-43m (216)
Spin magnetization, Bohr magnetons per cell: 0.00
Uncorrected energy, eV/atom: -5.5083

a b c (Å): 4.359 4.359 4.359
angles (deg): 60.00 60.00 60.00
Atoms (fractional coordinates):
Ga (0.000, 0.000, 0.000)
Sn (0.500, 0.500, 0.500)
Ru (0.750, 0.750, 0.750)

---

Entry 16:
An optimized crystal structure of GaSn2Ru, computed with PBE-GGA.

Results
Symmetry: I-42d (122)
Spin magnetization, Bohr magnetons per cell: 0.00
Uncorrected energy, eV/atom: -4.5768

a b c (Å): 6.946 6.946 6.946
angles (deg): 123.12 123.12 84.68
Atoms (fractional coordinates):
Ga (0.000, 0.000, 0.000)
Ga (0.750, 0.250, 0.500)
Sn (0.150, 0.625, 0.025)
Sn (0.375, 0.400, 0.525)
Sn (0.600, 0.125, 0.975)
Sn (0.875, 0.850, 0.475)
Ru (0.250, 0.750, 0.500)
Ru (0.500, 0.500, 0.000)

---

Entry 17:
An optimized crystal structure of SrGaSn2Ru2, computed with PBE-GGA.

Results
Symmetry: P4/mmm (123)
Spin magnetization, Bohr magnetons per cell: 0.40
Uncorrected energy, eV/atom: -5.4384

a b c (Å): 4.688 4.688 6.157
angles (deg): 90.00 90.00 90.00
Atoms (fractional coordinates):
Sr (0.000, 0.000, 0.000)
Ga (0.000, 0.000, 0.500)
Sn (0.500, 0.500, 0.245)
Sn (0.500, 0.500, 0.755)
Ru (0.000, 0.500, 0.500)
Ru (0.500, 0.000, 0.500)

---

Entry 18:
An optimized crystal structure of TbGaSnRu, computed with PBE-GGA.

Results
Symmetry: R3m (160)
Spin magnetization, Bohr magnetons per cell: 0.00
Uncorrected energy, eV/atom: -5.6613

a b c (Å): 5.632 5.632 5.632
angles (deg): 45.75 45.75 45.75
Atoms (fractional coordinates):
Tb (0.000, 0.000, 0.000)
Ga (0.775, 0.775, 0.775)
Sn (0.216, 0.216, 0.216)
Ru (0.483, 0.483, 0.483)

---

Entry 19:
An optimized crystal structure of Tb2Ga2SnRu5, computed with PBE-GGA.

Results
Symmetry: P4/mbm (127)
Spin magnetization, Bohr magnetons per cell: 1.30
Uncorrected energy, eV/atom: -6.8971

a b c (Å): 10.045 10.045 3.454
angles (deg): 90.00 90.00 90.00
Atoms (fractional coordinates):
Tb (0.172, 0.328, 0.000)
Tb (0.328, 0.828, 0.000)
Tb (0.672, 0.172, 0.000)
Tb (0.828, 0.672, 0.000)
Ga (0.127, 0.627, 0.000)
Ga (0.373, 0.127, 0.000)
Ga (0.627, 0.873, 0.000)
Ga (0.873, 0.373, 0.000)
Sn (0.000, 0.000, 0.000)
Sn (0.500, 0.500, 0.000)
Ru (0.000, 0.500, 0.500)
Ru (0.065, 0.796, 0.500)
Ru (0.204, 0.065, 0.500)
Ru (0.296, 0.565, 0.500)
Ru (0.435, 0.296, 0.500)
Ru (0.500, 0.000, 0.500)
Ru (0.565, 0.704, 0.500)
Ru (0.704, 0.435, 0.500)
Ru (0.796, 0.935, 0.500)
Ru (0.935, 0.204, 0.500)

---

Entry 20:
An optimized crystal structure of GaTc2SnRu, computed with PBE-GGA.

Results
Symmetry: P4/mmm (123)
Spin magnetization, Bohr magnetons per cell: 2.52
Uncorrected energy, eV/atom: -6.0917

a b c (Å): 4.840 4.840 5.106
angles (deg): 90.00 90.00 90.00
Atoms (fractional coordinates):
Ga (0.000, 0.000, 0.000)
Tc (0.000, 0.500, 0.500)
Tc (0.500, 0.000, 0.500)
Sn (0.500, 0.500, 0.000)
Ru (0.500, 0.500, 0.500)